(1)
## NaTbCu2Cl8 (PBE)

Data for a relaxed NaTbCu2Cl8 crystal.

Output
- formation energy (no corrections) (eV/atom) = -1.222
- theoretical density (g/cm3) = 3.5
- calculated volume (Å³/cell) = 280.9
- total magnetic moment (μB/atom) = 0.171
- D(E_F) (states/eV per atom) = 0.63
- total DFT energy (no corrections) (eV/atom) = -3.631

a = 6.4138 Å, b = 6.4138 Å, c = 8.1984 Å
α = 113.03°, β = 113.03°, γ = 90.00°
Last column: magnetic moment on the atom in μB.
Sites, in units of the cell vectors:
Cl 0.0113 0.4069 0.3656  0.09
Cl 0.5931 0.6457 0.6344  0.09
Cl 0.0413 0.9887 0.6344  0.09
Cl 0.7290 0.8548 0.1531  0.11
Cl 0.7017 0.2710 0.8469  0.11
Cl 0.4241 0.2983 0.1531  0.11
Cu 0.2500 0.7500 0.5000  0.48
Tb 0.7500 0.2500 0.5000  0.01
Cl 0.3543 0.9587 0.3656  0.09
Cl 0.1452 0.5759 0.8469  0.11
Na 0.0000 0.0000 0.0000  0.00
Cu 0.5000 0.5000 0.0000  0.54

***

(2)
## Na2TbCuCl6 (PBE)

Data for a relaxed Na2TbCuCl6 crystal.

Output
- formation energy (no corrections) (eV/atom) = -1.690
- theoretical density (g/cm3) = 2.9
- calculated volume (Å³/cell) = 544.3
- total magnetic moment (μB/atom) = 0.017
- D(E_F) (states/eV per atom) = 0.00
- total DFT energy (no corrections) (eV/atom) = -3.935

a = 6.8721 Å, b = 6.5258 Å, c = 12.1381 Å
α = 90.00°, β = 90.28°, γ = 90.00°
Last column: magnetic moment on the atom in μB.
Sites, in units of the cell vectors:
Cl 0.8252 0.7444 0.6436  0.01
Cl 0.3252 0.7556 0.1436  0.01
Cl 0.1649 0.2882 0.6604  0.00
Cu 0.5000 0.0000 0.5000  0.13
Cl 0.6659 0.2784 0.5062  0.00
Cl 0.1659 0.2216 0.0062  0.00
Na 0.5050 0.5042 0.7022  0.00
Cl 0.1748 0.2556 0.3564  0.01
Cl 0.6649 0.2118 0.1604  0.00
Na 0.9950 0.0042 0.7978  0.00
Cl 0.8341 0.7784 0.9938  0.00
Na 0.4950 0.4958 0.2978  0.00
Tb 0.0000 0.5000 0.5000  0.00
Tb 0.5000 0.0000 0.0000  0.00
Na 0.0050 0.9958 0.2022  0.00
Cl 0.3351 0.7882 0.8396  0.00
Cl 0.6748 0.2444 0.8564  0.01
Cu 0.0000 0.5000 0.0000  0.13
Cl 0.3341 0.7216 0.4938  0.00
Cl 0.8351 0.7118 0.3396  0.00

***

(3)
## NaCuTeCl6 (PBE)

Data for a relaxed NaCuTeCl6 crystal.

Output
- formation energy (no corrections) (eV/atom) = -0.794
- theoretical density (g/cm3) = 2.9
- calculated volume (Å³/cell) = 248.0
- total magnetic moment (μB/atom) = 0.010
- total DFT energy (no corrections) (eV/atom) = -2.976

a = 6.9734 Å, b = 6.9685 Å, c = 6.2876 Å
α = 92.41°, β = 87.38°, γ = 54.61°
Last column: magnetic moment on the atom in μB.
Sites, in units of the cell vectors:
Na 0.0121 0.0112 0.9996  0.00
Cl 0.6467 0.3355 0.7095  0.00
Cl 0.9812 0.3891 0.2976  0.00
Te 0.3360 0.3368 0.4993  0.00
Cu 0.6401 0.6375 0.5028  0.07
Cl 0.3883 0.9810 0.7026  0.00
Cl 0.0183 0.6426 0.7775  0.00
Cl 0.3352 0.6473 0.2894  0.00
Cl 0.6419 0.0191 0.2216  0.00

***

(4)
## NaThCuCl6 (PBE)

Data for a relaxed NaThCuCl6 crystal.

Output
- formation energy (no corrections) (eV/atom) = -1.646
- theoretical density (g/cm3) = 3.6
- calculated volume (Å³/cell) = 491.8
- total magnetic moment (μB/atom) = 0.012
- D(E_F) (states/eV per atom) = 0.00
- total DFT energy (no corrections) (eV/atom) = -4.303

a = 6.4490 Å, b = 6.4490 Å, c = 11.8240 Å
α = 90.00°, β = 90.00°, γ = 90.00°
Last column: magnetic moment on the atom in μB.
Sites, in units of the cell vectors:
Na 0.0000 0.0000 0.9955  0.00
Na 0.5000 0.5000 0.4955  0.00
Th 0.0000 0.0000 0.3360  0.00
Cu 0.5000 0.5000 0.1517  0.09
Cl 0.1931 0.8069 0.5116  0.00
Cl 0.8069 0.1931 0.5116  0.00
Cl 0.7081 0.7081 0.6758  0.00
Cl 0.7969 0.2031 0.8209  0.00
Cl 0.2919 0.2919 0.6758  0.00
Cl 0.2969 0.2969 0.3209  0.00
Cl 0.2031 0.7969 0.8209  0.00
Cu 0.0000 0.0000 0.6517  0.09
Cl 0.7031 0.7031 0.3209  0.00
Cl 0.6931 0.6931 0.0116  0.00
Th 0.5000 0.5000 0.8360  0.00
Cl 0.7919 0.2081 0.1758  0.00
Cl 0.3069 0.3069 0.0116  0.00
Cl 0.2081 0.7919 0.1758  0.00